# 1
! La2HfSiP, relaxed, DFT GGA-PBE; values from VASP
! Crystal system: tetragonal
! SG: P4/mmm (123)
&SYSTEM
  ibrav = 0, nat = 5, ntyp = 4
/
ATOMIC_SPECIES
Si 28.09 Si.upf
La 138.91 La.upf
Hf 178.49 Hf.upf
P 30.97 P.upf
ATOMIC_POSITIONS crystal
Si 0.500 0.500 0.500
La 0.000 0.000 0.500
Hf 0.000 0.000 0.000
La 0.500 0.000 0.000
P 0.000 0.500 0.000
CELL_PARAMETERS angstrom
5.716 0.000 0.000
0.000 4.776 0.000
0.000 0.000 5.716

=====

# 2
! La2SiOs, relaxed, DFT GGA-PBE; values from VASP
! Crystal system: orthorhombic
! SG: Amm2 (38)
&SYSTEM
  ibrav = 0, nat = 4, ntyp = 3
/
ATOMIC_SPECIES
Si 28.09 Si.upf
Os 190.23 Os.upf
La 138.91 La.upf
ATOMIC_POSITIONS crystal
Si 0.500 0.569 0.737
Os 0.000 0.683 0.509
La 0.500 0.265 0.343
La 0.000 0.982 0.910
CELL_PARAMETERS angstrom
4.254 0.000 0.000
0.000 4.433 0.004
0.000 2.207 5.360

=====

# 3
! Sm4Dy2Er, relaxed, DFT GGA-PBE; values from VASP
! Crystal system: orthorhombic
! SG: Cmce (64)
! Energy relative to the lowest polymorph listed for this composition (meV/atom): 37
! ΔH_f (0 K) (eV per atom): 0.17
&SYSTEM
  ibrav = 0, nat = 28, ntyp = 3
/
ATOMIC_SPECIES
Sm 150.36 Sm.upf
Dy 162.50 Dy.upf
Er 167.26 Er.upf
ATOMIC_POSITIONS crystal
Sm 0.500 0.205 0.570
Sm 0.000 0.295 0.430
Dy 0.500 0.606 0.156
Sm 0.000 0.599 0.806
Sm 0.500 0.295 0.070
Sm 0.500 0.900 0.194
Sm 0.500 0.705 0.930
Sm 0.000 0.205 0.930
Er 0.000 0.500 0.000
Er 0.000 0.000 0.500
Er 0.500 0.500 0.500
Dy 0.000 0.394 0.656
Sm 0.500 0.795 0.430
Sm 0.000 0.795 0.070
Dy 0.500 0.394 0.844
Dy 0.000 0.894 0.844
Dy 0.000 0.106 0.156
Dy 0.000 0.606 0.344
Er 0.500 0.000 0.000
Sm 0.500 0.100 0.806
Sm 0.000 0.401 0.194
Sm 0.500 0.600 0.694
Sm 0.000 0.901 0.306
Sm 0.000 0.705 0.570
Dy 0.500 0.894 0.656
Sm 0.000 0.099 0.694
Sm 0.500 0.400 0.306
Dy 0.500 0.106 0.344
CELL_PARAMETERS angstrom
5.309 0.000 0.000
0.000 11.303 0.000
0.000 0.000 15.520

=====

# 4
! PmFe2H8, relaxed, DFT GGA-PBE; values from VASP
! Crystal system: monoclinic
! SG: C2/m (12)
&SYSTEM
  ibrav = 0, nat = 11, ntyp = 3
/
ATOMIC_SPECIES
H 1.01 H.upf
Pm 145.00 Pm.upf
Fe 55.84 Fe.upf
ATOMIC_POSITIONS crystal
H 0.007 0.032 0.328
H 0.500 0.694 0.306
H 0.767 0.475 0.475
Pm 0.500 0.000 0.000
H 0.007 0.328 0.032
H 0.500 0.306 0.694
H 0.233 0.525 0.525
H 0.993 0.672 0.968
Fe 0.000 0.676 0.324
Fe 0.000 0.324 0.676
H 0.993 0.968 0.672
CELL_PARAMETERS angstrom
-0.948 -2.438 2.494
0.457 -3.420 -3.234
3.908 1.051 2.447

=====

# 5
! LaBTe2I, relaxed, DFT GGA-PBE; values from VASP
! Crystal system: tetragonal
! SG: P4/mmm (123)
! Energy relative to the lowest polymorph listed for this composition (meV/atom): 723
&SYSTEM
  ibrav = 0, nat = 5, ntyp = 4
/
ATOMIC_SPECIES
B 10.81 B.upf
Te 127.60 Te.upf
I 126.90 I.upf
La 138.91 La.upf
ATOMIC_POSITIONS crystal
B 0.500 0.500 0.500
Te 0.500 0.000 0.000
I 0.000 0.000 0.500
Te 0.000 0.500 0.000
La 0.000 0.000 0.000
CELL_PARAMETERS angstrom
-4.880 -3.824 -0.088
3.057 -3.984 3.637
-2.309 2.830 5.042

=====

# 6
! Cd2InPb, relaxed, DFT GGA-PBE; values from VASP
! Crystal system: cubic
! SG: Fm-3m (225)
! Energy relative to the lowest polymorph listed for this composition (meV/atom): 36
! ΔH_f (0 K) (eV per atom): 0.06
&SYSTEM
  ibrav = 0, nat = 4, ntyp = 3
/
ATOMIC_SPECIES
Pb 207.20 Pb.upf
Cd 112.41 Cd.upf
In 114.82 In.upf
ATOMIC_POSITIONS crystal
Pb 0.500 0.500 0.500
Cd 0.250 0.250 0.250
In 0.000 0.000 0.000
Cd 0.750 0.750 0.750
CELL_PARAMETERS angstrom
0.000 3.768 3.768
3.768 0.000 3.768
3.768 3.768 0.000

=====

Across the entries above, electronic total energy takes the values -0.210 -0.259 -0.165 -0.167 -0.122 -0.074 hartree per atom, respectively.